Crystalline CuRe2Ir2 at its relaxed geometry. Source: the Alexandria database, functional PBE.

Cell lengths 7.6088, 7.6088, 2.7117 Å; angles 90.00, 90.00, 90.00 degrees
Fractional positions:
Cu1 0.0000 0.0000 0.0000
Cu2 0.5000 0.5000 0.0000
Re1 0.1704 0.3296 0.5000
Re2 0.3296 0.8296 0.5000
Re3 0.6704 0.1704 0.5000
Re4 0.8296 0.6704 0.5000
Ir1 0.1247 0.6247 0.0000
Ir2 0.3753 0.1247 0.0000
Ir3 0.6247 0.8753 0.0000
Ir4 0.8753 0.3753 0.0000

Results
Volume (A^3/atom): 15.70
Spin magnetization (μB/cell): 0.0
ΔE_f (meV per atom): 252
VASP energy (eV/cell): -90.9